VASP calculation (SCAN) on a PBEsol-optimized structure of Dy3Y.

abc: 4.9177 4.9177 4.9177
angles: 90.00 90.00 90.00
Closest atoms and distances in Å follow each position.
Element x y z (fractional)
Dy 0.5000 0.0000 0.5000  8 Dy 3.48, 4 Y 3.48
Y 0.0000 0.0000 0.0000  12 Dy 3.48
Dy 0.0000 0.5000 0.5000  8 Dy 3.48, 4 Y 3.48
Dy 0.5000 0.5000 0.0000  8 Dy 3.48, 4 Y 3.48

Results
M_tot: 0.000 μB/cell
offset from the most stable computed form: 16 meV/atom
energy relative to the elements: 0.0303 eV/atom
mass density: 8.0 Mg/m³
DFT total energy: -42.78 eV/atom



VASP calculation (SCAN) on a PBEsol-optimized structure of TcTeOs2.

abc: 2.8751 3.7618 5.8637
angles: 90.00 90.00 90.00
Closest atoms and distances in Å follow each position.
Element x y z (fractional)
Tc 0.0000 0.0000 0.4761  5 Os 2.60-2.72, 4 Te 2.84, 2 Tc 2.88
Os 0.5000 0.5000 0.2475  6 Os 2.68-2.88, 4 Tc 2.72, 2 Te 2.91-2.96
Os 0.0000 0.0000 0.0335  1 Tc 2.60, 6 Os 2.68-2.88
Te 0.5000 0.5000 0.7429  4 Tc 2.84, 2 Te 2.88, 6 Os 2.91-2.96

Results
M_tot: 0.000 μB/cell
offset from the most stable computed form: 0 meV/atom
mass density: 15.9 Mg/m³
formation energy (no corrections): 0.675 eV/atom
DFT total energy: -53.34 eV/atom



VASP calculation (SCAN) on a PBEsol-optimized structure of Cd2SnBi2.

abc: 3.4698 8.9127 8.9127
angles: 90.00 90.00 90.00
Closest atoms and distances in Å follow each position.
Element x y z (fractional)
Sn 0.0000 0.5000 0.5000  4 Bi 3.26, 2 Sn 3.47
Bi 0.0000 0.6834 0.1834  6 Cd 3.06-3.24, 2 Sn 3.26
Cd 0.5000 0.3830 0.1170  1 Cd 2.95, 6 Bi 3.06-3.24
Bi 0.0000 0.3166 0.8166  6 Cd 3.06-3.24, 2 Sn 3.26
Sn 0.0000 0.0000 0.0000  4 Bi 3.26, 2 Sn 3.47
Bi 0.0000 0.1834 0.3166  6 Cd 3.06-3.24, 2 Sn 3.26
Bi 0.0000 0.8166 0.6834  6 Cd 3.06-3.24, 2 Sn 3.26
Cd 0.5000 0.6170 0.8830  1 Cd 2.95, 6 Bi 3.06-3.24
Cd 0.5000 0.1170 0.6170  1 Cd 2.95, 6 Bi 3.06-3.24
Cd 0.5000 0.8830 0.3830  1 Cd 2.95, 6 Bi 3.06-3.24

Results
M_tot: 0.000 μB/cell
offset from the most stable computed form: 0 meV/atom
energy relative to the elements: 0.1464 eV/atom
mass density: 9.2 Mg/m³
DFT total energy: -50.64 eV/atom



VASP calculation (SCAN) on a PBEsol-optimized structure of Ba2TlTc.

abc: 3.4377 4.1096 10.0020
angles: 96.16 90.00 114.72
Closest atoms and distances in Å follow each position.
Element x y z (fractional)
Tl 0.5000 0.0000 0.0000  2 Tl 3.44, 6 Ba 3.56-3.67
Tc 0.0000 0.0000 0.5000  6 Ba 3.04-3.16
Ba 0.7438 0.4877 0.7148  3 Tc 3.04-3.16
Ba 0.2562 0.5123 0.2852  3 Tc 3.04-3.16

Results
M_tot: 2.237 μB/cell
offset from the most stable computed form: 245 meV/atom
energy relative to the elements: 0.6565 eV/atom
mass density: 7.5 Mg/m³
DFT total energy: -45.97 eV/atom



VASP calculation (SCAN) on a PBEsol-optimized structure of CrAu4.

abc: 3.9910 4.9490 4.9490
angles: 80.64 66.22 66.22
Closest atoms and distances in Å follow each position.
Element x y z (fractional)
Au 0.3979 0.3989 0.8053  9 Au 2.82-2.91, 3 Cr 2.83-2.86
Au 0.6021 0.6011 0.1947  9 Au 2.82-2.91, 3 Cr 2.83-2.86
Au 0.7968 0.8053 0.6011  9 Au 2.82-2.91, 3 Cr 2.83-2.86
Cr 0.0000 0.0000 0.0000  12 Au 2.83-2.86
Au 0.2032 0.1947 0.3989  9 Au 2.82-2.91, 3 Cr 2.83-2.86

Results
M_tot: 3.898 μB/cell
energy relative to the elements: -0.1243 eV/atom
mass density: 17.0 Mg/m³
DFT total energy: -59.13 eV/atom



VASP calculation (SCAN) on a PBEsol-optimized structure of Mn2TlCd.

abc: 4.6013 4.6013 4.6013
angles: 60.00 60.00 60.00
Closest atoms and distances in Å follow each position.
Element x y z (fractional)
Cd 0.0000 0.0000 0.0000  8 Mn 2.82
Mn 0.7500 0.7500 0.7500  4 Cd 2.82, 4 Tl 2.82
Tl 0.5000 0.5000 0.5000  8 Mn 2.82
Mn 0.2500 0.2500 0.2500  4 Cd 2.82, 4 Tl 2.82

Results
M_tot: 7.843 μB/cell
energy relative to the elements: 0.0926 eV/atom
mass density: 10.3 Mg/m³
DFT total energy: -34.73 eV/atom



VASP calculation (SCAN) on a PBEsol-optimized structure of As2P.

abc: 5.3693 5.3693 5.3693
angles: 60.00 60.00 60.00
Closest atoms and distances in Å follow each position.
Element x y z (fractional)
As 0.1250 0.1250 0.1250  6 As 2.68
As 0.1250 0.1250 0.6250  6 As 2.68
P 0.7500 0.7500 0.7500  12 As 3.15, 4 P 3.29
P 0.5000 0.5000 0.5000  12 As 3.15, 4 P 3.29
As 0.6250 0.1250 0.1250  6 As 2.68
As 0.1250 0.6250 0.1250  6 As 2.68

Results
M_tot: 0.000 μB/cell
offset from the most stable computed form: 914 meV/atom
energy relative to the elements: 0.9751 eV/atom
mass density: 5.5 Mg/m³
DFT total energy: -15.95 eV/atom



VASP calculation (SCAN) on a PBEsol-optimized structure of MgCr4Ni.

abc: 4.7126 4.7126 4.7126
angles: 60.00 60.00 60.00
Closest atoms and distances in Å follow each position.
Element x y z (fractional)
Cr 0.1287 0.6238 0.6238  6 Cr 2.33-2.38
Cr 0.6238 0.1287 0.6238  6 Cr 2.33-2.38
Cr 0.6238 0.6238 0.6238  6 Cr 2.33-2.38
Ni 0.0000 0.0000 0.0000  12 Cr 2.77, 4 Mg 2.89
Cr 0.6238 0.6238 0.1287  6 Cr 2.33-2.38
Mg 0.2500 0.2500 0.2500  12 Cr 2.76, 4 Ni 2.89

Results
M_tot: 0.000 μB/cell
energy relative to the elements: 0.4125 eV/atom
mass density: 6.5 Mg/m³
DFT total energy: -15.37 eV/atom



VASP calculation (SCAN) on a PBEsol-optimized structure of Hf2InMoBr.

abc: 4.5836 4.8491 4.8491
angles: 90.00 90.00 90.00
Closest atoms and distances in Å follow each position.
Element x y z (fractional)
In 0.5000 0.5000 0.5000  8 Hf 3.34, 4 Mo 3.43
Hf 0.0000 0.0000 0.5000  2 Br 2.42
Hf 0.0000 0.5000 0.0000  2 Br 2.42
Mo 0.5000 0.0000 0.0000  2 Br 2.29
Br 0.0000 0.0000 0.0000  2 Mo 2.29, 4 Hf 2.42

Results
M_tot: 0.000 μB/cell
mass density: 10.0 Mg/m³
formation energy (no corrections): 0.857 eV/atom
DFT total energy: -41.76 eV/atom



VASP calculation (SCAN) on a PBEsol-optimized structure of PWSe2.

abc: 3.2300 3.7249 6.6260
angles: 90.00 90.09 90.00
Closest atoms and distances in Å follow each position.
Element x y z (fractional)
Se 0.1261 0.0000 0.9278  2 W 2.58, 2 P 2.75
P 0.1249 0.5000 0.6216  4 W 2.47, 4 Se 2.54-2.75
W 0.6250 0.0000 0.6250  4 P 2.47, 4 Se 2.58-2.72
Se 0.6239 0.5000 0.3257  2 P 2.54, 2 W 2.72

Results
M_tot: 0.000 μB/cell
mass density: 7.8 Mg/m³
formation energy (no corrections): 0.136 eV/atom
DFT total energy: -29.92 eV/atom



VASP calculation (SCAN) on a PBEsol-optimized structure of CsMn2RuO.

abc: 3.9110 3.9110 5.3912
angles: 90.00 90.00 90.00
Closest atoms and distances in Å follow each position.
Element x y z (fractional)
Mn 0.0000 0.5000 0.0000  2 O 1.96
Ru 0.5000 0.5000 0.5000  4 Cs 2.77
Mn 0.5000 0.0000 0.0000  2 O 1.96
Cs 0.0000 0.0000 0.5000  2 O 2.70, 4 Ru 2.77
O 0.0000 0.0000 0.0000  4 Mn 1.96

Results
M_tot: 9.358 μB/cell
mass density: 7.2 Mg/m³
formation energy (no corrections): 0.279 eV/atom
DFT total energy: -22.80 eV/atom



VASP calculation (SCAN) on a PBEsol-optimized structure of HfTiW4.

abc: 5.2820 5.2820 5.2820
angles: 60.00 60.00 60.00
Closest atoms and distances in Å follow each position.
Element x y z (fractional)
W 0.3749 0.8752 0.3749  6 W 2.64
W 0.3749 0.3749 0.8752  6 W 2.64
Hf 0.7500 0.7500 0.7500  12 W 3.10, 4 Ti 3.23
W 0.3749 0.3749 0.3749  6 W 2.64
W 0.8752 0.3749 0.3749  6 W 2.64
Ti 0.0000 0.0000 0.0000  12 W 3.10, 4 Hf 3.23

Results
M_tot: 0.000 μB/cell
energy relative to the elements: -0.0783 eV/atom
mass density: 15.3 Mg/m³
DFT total energy: -59.65 eV/atom